Record 1
An optimized crystal structure of ZrMn2Be, computed with GGA-PBE.

The structure belongs to space group F-43m (No. 216); the cell edges are 6.007, 6.007 and 6.007 Å and the angles 90.00°, 90.00° and 90.00°. The asymmetric unit holds Zr at (0.000, 0.000, 0.000), Mn at (0.000, 0.000, 0.500), Mn at (0.250, 0.250, 0.250) and Be at (0.250, 0.250, 0.750).

The value obtained for the density of states at the Fermi level is 4.8 states/eV/f.u. As for the energy of formation: 0.1806 eV per atom.

=====

Record 2
An optimized crystal structure of ZrMn2Be, computed with GGA-PBE.

The structure belongs to space group P4mm (No. 99); the cell edges are 2.835, 2.835 and 6.450 Å and the angles 90.00°, 90.00° and 90.00°. The asymmetric unit holds Zr at (0.000, 0.000, 0.000), Mn at (0.000, 0.000, 0.492), Mn at (0.500, 0.500, 0.678) and Be at (0.500, 0.500, 0.300).

The value obtained for the density of states at the Fermi level is 3.0 states/eV/f.u. As for the energy of formation: -0.0071 eV per atom.

=====

Record 3
An optimized crystal structure of ZrMn2Be, computed with GGA-PBE.

The structure belongs to space group I4/mmm (No. 139); the cell edges are 3.834, 3.834 and 7.716 Å and the angles 90.00°, 90.00° and 90.00°. The asymmetric unit holds Zr at (0.000, 0.000, 0.000), Mn at (0.000, 0.500, 0.250) and Be at (0.000, 0.000, 0.500).

The value obtained for the density of states at the Fermi level is 3.3 states/eV/f.u. As for the energy of formation: 0.1083 eV per atom.

=====

Record 4
An optimized crystal structure of ZrMn2Be, computed with GGA-PBE.

The structure belongs to space group C2/m (No. 12); the cell edges are 5.213, 8.423 and 2.747 Å and the angles 90.00°, 116.47° and 90.00°. The asymmetric unit holds Zr at (0.000, 0.000, 0.000), Mn at (0.250, 0.250, 0.500) and Be at (0.000, 0.500, 0.000).

The value obtained for the density of states at the Fermi level is 4.1 states/eV/f.u. As for the energy of formation: 0.2997 eV per atom.

=====

Record 5
An optimized crystal structure of ZrMn2Be, computed with GGA-PBE.

The structure belongs to space group Imm2 (No. 44); the cell edges are 3.655, 3.800 and 8.077 Å and the angles 90.00°, 90.00° and 90.00°. The asymmetric unit holds Zr at (0.000, 0.000, 0.000), Mn at (0.000, 0.000, 0.509), Mn at (0.000, 0.500, 0.753) and Be at (0.000, 0.500, 0.247).

The value obtained for the density of states at the Fermi level is 1.9 states/eV/f.u. As for the energy of formation: 0.0881 eV per atom.

=====

Record 6
An optimized crystal structure of ZrMn2Be, computed with GGA-PBE.

The structure belongs to space group R-3m (No. 166, hexagonal axes); the cell edges are 2.8615, 2.8615 and 24.7519 Å and the angles 90.00°, 90.00° and 120.00°. The asymmetric unit holds Zr at (0.0000, 0.0000, 0.0000), Mn at (0.0000, 0.0000, 0.2344) and Be at (0.0000, 0.0000, 0.5000).

The value obtained for the density of states at the Fermi level is 4.3 states/eV/f.u. As for the energy of formation: 0.3890 eV per atom.

=====

Record 7
An optimized crystal structure of ZrMn2Be2, computed with GGA-PBE.

The structure belongs to space group I4/mmm (No. 139); the cell edges are 3.912, 3.912 and 8.105 Å and the angles 90.00°, 90.00° and 90.00°. The asymmetric unit holds Zr at (0.000, 0.000, 0.000), Mn at (0.000, 0.000, 0.372) and Be at (0.000, 0.500, 0.250).

Its polymorph energy (0 for the lowest one) is 88.0 meV/atom. The value obtained for the density of states at the Fermi level is 2.8 states/eV/f.u. As for the energy of formation: 0.0809 eV per atom.

=====

Record 8
An optimized crystal structure of ZrMn2Be, computed with GGA-PBE.

The structure belongs to space group P4/mmm (No. 123); the cell edges are 3.077, 3.077 and 5.558 Å and the angles 90.00°, 90.00° and 90.00°. The asymmetric unit holds Zr at (0.000, 0.000, 0.000), Mn at (0.500, 0.500, 0.316) and Be at (0.000, 0.000, 0.500).

The value obtained for the density of states at the Fermi level is 3.0 states/eV/f.u. As for the energy of formation: 0.0349 eV per atom.